# PBE ZrPtRh2, relaxed
data_ZrPtRh2
_chemical_formula_sum 'Zr1 Pt1 Rh2'
_cell_length_a 2.873
_cell_length_b 2.873
_cell_length_c 7.877
_cell_angle_alpha 90.00
_cell_angle_beta 90.00
_cell_angle_gamma 90.00
_symmetry_space_group_name_H-M 'P 4 m m'
_symmetry_Int_Tables_number 99
_symmetry_space_group_name_Hall 'P 4 -2'
loop_
_atom_site_label
_atom_site_type_symbol
_atom_site_fract_x
_atom_site_fract_y
_atom_site_fract_z
Zr1 Zr 0.000 0.000 0.000
Pt1 Pt 0.500 0.500 0.263
Rh1 Rh 0.000 0.000 0.512
Rh2 Rh 0.500 0.500 0.745
# N(E_F)	6.2	states/eV per cell
# E	-30.61	eV per formula unit
# magnetic moment	0.5	Bohr magnetons per cell